(1)
Here is a relaxed KBe2N crystal from Alexandria. Energies are from PBE.

Values from the calculation:
Its formation energy without anion corrections is 0.92 eV/f.u. For the final energy, the calculation gives -31.91 eV per cell. As for the total magnetic moment: 0.00 μB per cell.

Lattice parameters (Å, degrees): 5.5651 5.5651 5.5770 60.07 60.07 90.00
Sites, in units of the cell vectors:
K 0.7500 0.2500 0.5000
K 0.0000 0.0000 0.0000
Be 0.8750 0.6250 0.7500
N 0.5000 0.5000 0.0000
Be 0.3750 0.6250 0.7500
Be 0.3750 0.6250 0.2500
Be 0.3750 0.1250 0.2500
N 0.2500 0.7500 0.5000

(2)
Here is a relaxed NaIn2TcSn crystal from Alexandria. Energies are from PBE.

Values from the calculation:
As for the formation energy: 0.05 eV per atom. For the final energy, the calculation gives -20.94 eV per cell. As for the total magnetic moment: 0.00 μB per cell.

Lattice parameters (Å, degrees): 5.2720 5.2720 5.1416 90.00 90.00 90.00
Sites, in units of the cell vectors:
In 0.5000 0.0000 0.0000
Na 0.5000 0.5000 0.5000
Tc 0.0000 0.0000 0.0000
In 0.0000 0.5000 0.0000
Sn 0.0000 0.0000 0.5000

(3)
Here is a relaxed BaP2Ru crystal from Alexandria. Energies are from PBE.

Values from the calculation:
As for the formation energy: 0.60 eV per atom. For the final energy, the calculation gives -19.62 eV per cell. As for the total magnetic moment: 0.00 μB per cell.

Lattice parameters (Å, degrees): 4.4018 4.4039 4.2833 90.00 90.00 90.00
Sites, in units of the cell vectors:
P 0.5000 0.5000 0.0000
P 0.0000 0.0000 0.0000
Ba 0.0000 0.5000 0.5000
Ru 0.5000 0.0000 0.5000